The following is a DFT calculation (GGA-PBE) of a relaxed structure of DyZn3Au3.

```
DyZn3Au3
1.0
6.974 0.000 0.000
0.000 6.974 0.000
0.000 0.000 6.974
Dy Au Zn
2 6 6
direct
0.500 0.500 0.500
0.000 0.000 0.000
0.250 0.000 0.500
0.000 0.500 0.750
0.750 0.000 0.500
0.000 0.500 0.250
0.500 0.750 0.000
0.500 0.250 0.000
0.250 0.500 0.000
0.750 0.500 0.000
0.000 0.250 0.500
0.500 0.000 0.750
0.500 0.000 0.250
0.000 0.750 0.500
```

Computed properties:
- energy of formation (eV/atom) = 0.08
- ΔE to the lowest computed polymorph (meV per atom) = 477
- magnetization (μB/f.u.) = 0.0